This record from the Alexandria database describes an optimized crystal structure of InFe2Cu. The functional is GGA-PBE.

Fermi-level density of states in states/eV per cell: 3.255
ΔE_f in kJ per mole of atoms: 16.12
Symmetry: No. 99
Total DFT energy (no corrections) in eV per atom: -5.77

```
InFe2Cu
1.0
-0.2226 3.0198 0.3425
-0.2003 -0.3572 3.0191
6.1371 0.4008 0.4547
Cu Fe In
1 2 1
Direct
0.5000 0.5000 0.7820
0.0000 0.0000 0.0174
0.5000 0.5000 0.2037
0.0000 0.0000 0.4968
```

***

This record from the Alexandria database describes an optimized crystal structure of TlFe2Pt. The functional is GGA-PBE.

Fermi-level density of states in states/eV per cell: 2.651
ΔE_f in kJ per mole of atoms: 26.10
Symmetry: No. 123
Excess energy over the best structure of this formula in the dataset in eV/atom: 0.0815
Total DFT energy (no corrections) in eV per atom: -6.06

```
TlFe2Pt
1.0
2.8670 0.0331 0.0000
-0.0360 2.8669 0.0000
0.0000 0.0000 7.8281
Fe Pt Tl
2 1 1
Direct
0.0000 0.0000 0.4744
0.0000 0.0000 0.0256
0.5000 0.5000 0.2500
0.5000 0.5000 0.7500
```

***

This record from the Alexandria database describes an optimized crystal structure of ZnAsRu2. The functional is GGA-PBE.

Fermi-level density of states in states/eV per cell: 4.357
ΔE_f in kJ per mole of atoms: -7.58
Symmetry: No. 123
Excess energy over the best structure of this formula in the dataset in eV/atom: 0.0217
Total DFT energy (no corrections) in eV per atom: -6.20

```
ZnAsRu2
1.0
3.0242 0.0000 0.0000
0.0000 3.0242 0.0000
0.0000 0.0000 6.1362
Ru As Zn
2 1 1
Direct
0.0000 0.0000 0.5133
0.0000 0.0000 0.9867
0.5000 0.5000 0.7500
0.5000 0.5000 0.2500
```